# SrV2Si

A relaxed structure of SrV2Si (PBE, Alexandria).

```
data_SrV2Si
_chemical_formula_sum 'Sr2 V4 Si2'
_cell_length_a 4.441
_cell_length_b 4.441
_cell_length_c 9.723
_cell_angle_alpha 76.80
_cell_angle_beta 76.80
_cell_angle_gamma 90.00
_symmetry_space_group_name_H-M 'P 1'
_symmetry_Int_Tables_number 1
_symmetry_space_group_name_Hall 'P 1'
loop_
_atom_site_label
_atom_site_type_symbol
_atom_site_fract_x
_atom_site_fract_y
_atom_site_fract_z
_atom_site_occupancy
Sr1 Sr 0.000 0.000 0.000 1
Sr2 Sr 0.750 0.250 0.500 1
Si1 Si 0.500 0.500 0.000 1
Si2 Si 0.250 0.750 0.500 1
V1 V 0.375 0.125 0.250 1
V2 V 0.375 0.625 0.250 1
V3 V 0.375 0.625 0.750 1
V4 V 0.875 0.625 0.750 1
```

Summary:
Energy ... -5.87 eV per atom
Formation energy from raw total energies ... 0.4673 eV/atom
D(E_F) ... 0.626 states/eV/atom

# PrLuCd2

A relaxed structure of PrLuCd2 (PBE, Alexandria).

```
data_PrLuCd2
_chemical_formula_sum 'Pr1 Lu1 Cd2'
_cell_length_a 5.354
_cell_length_b 5.354
_cell_length_c 5.354
_cell_angle_alpha 60.00
_cell_angle_beta 60.00
_cell_angle_gamma 60.00
_symmetry_space_group_name_H-M 'P 1'
_symmetry_Int_Tables_number 1
_symmetry_space_group_name_Hall 'P 1'
loop_
_atom_site_label
_atom_site_type_symbol
_atom_site_fract_x
_atom_site_fract_y
_atom_site_fract_z
_atom_site_occupancy
Pr1 Pr 0.500 0.500 0.500 1
Lu1 Lu 0.000 0.000 0.000 1
Cd1 Cd 0.250 0.250 0.250 1
Cd2 Cd 0.750 0.750 0.750 1
```

Summary:
Energy ... -3.08 eV per atom
D(E_F) ... 0.941 states/eV/atom
DFT formation energy ... -0.30 eV per atom
Energy above the lowest structure with this stoichiometry ... 0.17 kcal/mol of atoms

# TaBe2Fe

A relaxed structure of TaBe2Fe (PBE, Alexandria).

```
data_TaBe2Fe
_chemical_formula_sum 'Ta1 Be2 Fe1'
_cell_length_a 8.329
_cell_length_b 8.329
_cell_length_c 8.329
_cell_angle_alpha 18.37
_cell_angle_beta 18.37
_cell_angle_gamma 18.37
_symmetry_space_group_name_H-M 'P 1'
_symmetry_Int_Tables_number 1
_symmetry_space_group_name_Hall 'P 1'
loop_
_atom_site_label
_atom_site_type_symbol
_atom_site_fract_x
_atom_site_fract_y
_atom_site_fract_z
_atom_site_occupancy
Be1 Be 0.991 0.991 0.991 1
Be2 Be 0.251 0.251 0.251 1
Fe1 Fe 0.510 0.510 0.510 1
Ta1 Ta 0.748 0.748 0.748 1
```

Summary:
Energy ... -6.57 eV per atom
D(E_F) ... 0.689 states/eV/atom
DFT formation energy ... 0.37 eV per atom
Energy above the lowest structure with this stoichiometry ... 10.52 kcal/mol of atoms

# TlRe5

A relaxed structure of TlRe5 (PBE, Alexandria).

```
data_TlRe5
_chemical_formula_sum 'Tl1 Re5'
_cell_length_a 2.848
_cell_length_b 2.848
_cell_length_c 12.116
_cell_angle_alpha 90.00
_cell_angle_beta 90.00
_cell_angle_gamma 90.00
_symmetry_space_group_name_H-M 'P 1'
_symmetry_Int_Tables_number 1
_symmetry_space_group_name_Hall 'P 1'
loop_
_atom_site_label
_atom_site_type_symbol
_atom_site_fract_x
_atom_site_fract_y
_atom_site_fract_z
_atom_site_occupancy
Tl1 Tl 0.500 0.500 0.500 1
Re1 Re 0.000 0.000 0.693 1
Re2 Re 0.500 0.500 0.837 1
Re3 Re 0.000 0.000 0.000 1
Re4 Re 0.500 0.500 0.163 1
Re5 Re 0.000 0.000 0.307 1
```

Summary:
Energy ... -10.36 eV per atom
D(E_F) ... 0.918 states/eV/atom
DFT formation energy ... 0.41 eV per atom
Energy above the lowest structure with this stoichiometry ... 0.00 kcal/mol of atoms